1.
The following is a PBE calculation of a geometry-optimized Ba2TaFeB structure, from Alexandria via LeMat-Bulk.

Cell: 5.935 5.935 3.741 Å, 90.00 90.00 90.00°
Atoms (fractional coordinates):
Ba: 0.000 0.500 0.000
Ba: 0.500 0.000 0.000
Ta: 0.000 0.000 0.500
Fe: 0.500 0.500 0.000
B: 0.500 0.500 0.500

Properties
- Magnetization: 0.0 Bohr magnetons per cell
- ΔH_f (0 K): 1404.2 meV per atom

2.
The following is a PBE calculation of a geometry-optimized SnGeP3 structure, from Alexandria via LeMat-Bulk.

Cell: 4.749 4.749 4.749 Å, 90.00 90.00 90.00°
Atoms (fractional coordinates):
Sn: 0.000 0.000 0.000
Ge: 0.500 0.500 0.500
P: 0.000 0.500 0.500
P: 0.500 0.000 0.500
P: 0.500 0.500 0.000

Properties
- Magnetization: 0.0 Bohr magnetons per cell
- ΔH_f (0 K): 755.7 meV per atom

3.
The following is a PBE calculation of a geometry-optimized ErTlGe4 structure, from Alexandria via LeMat-Bulk.

Cell: 5.670 5.670 5.670 Å, 60.00 60.00 60.00°
Atoms (fractional coordinates):
Er: 0.000 0.000 0.000
Tl: 0.250 0.250 0.250
Ge: 0.122 0.626 0.626
Ge: 0.626 0.122 0.626
Ge: 0.626 0.626 0.122
Ge: 0.626 0.626 0.626

Properties
- Magnetization: 0.0 Bohr magnetons per cell
- ΔH_f (0 K): -99.5 meV per atom

4.
The following is a PBE calculation of a geometry-optimized CePa2Pt9 structure, from Alexandria via LeMat-Bulk.

Cell: 4.191 4.191 12.530 Å, 90.00 90.00 90.00°
Atoms (fractional coordinates):
Ce: 0.000 0.000 0.000
Pa: 0.000 0.000 0.333
Pa: 0.000 0.000 0.667
Pt: 0.000 0.500 0.170
Pt: 0.000 0.500 0.500
Pt: 0.000 0.500 0.830
Pt: 0.500 0.000 0.170
Pt: 0.500 0.000 0.500
Pt: 0.500 0.000 0.830
Pt: 0.500 0.500 0.000
Pt: 0.500 0.500 0.335
Pt: 0.500 0.500 0.665

Properties
- Magnetization: 2.0 Bohr magnetons per cell
- ΔH_f (0 K): -945.8 meV per atom